Run 1
Material: FeAu3Se
Method: DFT, PBE-GGA
State: optimized geometry

Results
As for the magnetic moment: 0.70 μB per atom.

abc: 4.9821 4.9821 4.9821
angles: 90.00 90.00 90.00
Space group Pm-3m (No. 221)
One atom of each set of equivalent atoms:
Fe: 0.0000 0.0000 0.0000
Au: 0.0000 0.5000 0.5000
Se: 0.5000 0.5000 0.5000

***

Run 2
Material: FeAu3Se
Method: DFT, PBE-GGA
State: optimized geometry

Results
As for the magnetic moment: 0.00 μB per atom.

abc: 4.7731 4.7731 4.7731
angles: 90.00 90.00 90.00
Space group Pm-3m (No. 221)
One atom of each set of equivalent atoms:
Fe: 0.0000 0.0000 0.0000
Au: 0.0000 0.0000 0.5000
Se: 0.5000 0.5000 0.5000

***

Least stable = run 2

***

Run 1
Material: Fe2Si2Au
Method: DFT, PBE-GGA
State: optimized geometry

Results
As for the magnetic moment: 0.24 μB per atom.

abc: 6.8008 6.8008 2.7005
angles: 90.00 90.00 90.00
Space group P4/mbm (No. 127)
One atom of each set of equivalent atoms:
Fe: 0.1497 0.3503 0.0000
Si: 0.1410 0.6410 0.5000
Au: 0.0000 0.0000 0.5000

***

Run 2
Material: Fe2Si2Au
Method: DFT, PBE-GGA
State: optimized geometry

Results
As for the magnetic moment: 0.30 μB per atom.

abc: 6.9048 6.9048 2.6672
angles: 90.00 90.00 90.00
Space group P4/mbm (No. 127)
One atom of each set of equivalent atoms:
Fe: 0.1395 0.3605 0.0000
Si: 0.1528 0.6528 0.5000
Au: 0.0000 0.0000 0.0000

***

Least stable = run 2

***

Run 1
Material: Fe3SiAu
Method: DFT, PBE-GGA
State: optimized geometry

Results
As for the magnetic moment: 1.37 μB per atom.

abc: 4.2568 4.2568 4.2568
angles: 90.00 90.00 90.00
Space group Pm-3m (No. 221)
One atom of each set of equivalent atoms:
Fe: 0.0000 0.0000 0.5000
Si: 0.0000 0.0000 0.0000
Au: 0.5000 0.5000 0.5000

***

Run 2
Material: Fe3SiAu
Method: DFT, PBE-GGA
State: optimized geometry

Results
As for the magnetic moment: 1.90 μB per atom.

abc: 4.7230 4.7230 4.7230
angles: 90.00 90.00 90.00
Space group Pm-3m (No. 221)
One atom of each set of equivalent atoms:
Fe: 0.0000 0.0000 0.5000
Si: 0.5000 0.5000 0.5000
Au: 0.0000 0.0000 0.0000

***

Least stable = run 2

***

Run 1
Material: FeSiAu3
Method: DFT, PBE-GGA
State: optimized geometry

Results
As for the magnetic moment: 0.67 μB per atom.

abc: 4.7100 4.7100 4.7100
angles: 90.00 90.00 90.00
Space group Pm-3m (No. 221)
One atom of each set of equivalent atoms:
Fe: 0.0000 0.0000 0.0000
Si: 0.5000 0.5000 0.5000
Au: 0.0000 0.5000 0.5000

***

Run 2
Material: FeSiAu3
Method: DFT, PBE-GGA
State: optimized geometry

Results
As for the magnetic moment: 0.61 μB per atom.

abc: 4.8103 4.8103 4.8103
angles: 90.00 90.00 90.00
Space group Pm-3m (No. 221)
One atom of each set of equivalent atoms:
Fe: 0.0000 0.0000 0.0000
Si: 0.5000 0.5000 0.5000
Au: 0.0000 0.0000 0.5000

***

Least stable = run 2

***

Run 1
Material: FeSn2Au
Method: DFT, PBE-GGA
State: optimized geometry

Results
As for the magnetic moment: 0.64 μB per atom.

abc: 4.4298 4.4298 17.8423
angles: 90.00 90.00 90.00
Space group I-42d (No. 122)
One atom of each set of equivalent atoms:
Fe: 0.0000 0.0000 0.0000
Sn: 0.2312 0.2500 0.1250
Au: 0.0000 0.0000 0.5000

***

Run 2
Material: FeSn2Au
Method: DFT, PBE-GGA
State: optimized geometry

Results
As for the magnetic moment: 0.00 μB per atom.

abc: 6.6845 6.6845 6.6845
angles: 90.00 90.00 90.00
Space group Fm-3m (No. 225)
One atom of each set of equivalent atoms:
Fe: 0.0000 0.0000 0.0000
Sn: 0.2500 0.2500 0.2500
Au: 0.0000 0.0000 0.5000

***

Least stable = run 2

***

Run 1
Material: TlFe2SnAu
Method: DFT, PBE-GGA
State: optimized geometry

Results
As for the magnetic moment: 1.24 μB per atom.

abc: 4.9229 4.9229 5.7435
angles: 90.00 90.00 90.00
Space group P4/mmm (No. 123)
One atom of each set of equivalent atoms:
Tl: 0.0000 0.0000 0.0000
Fe: 0.0000 0.5000 0.5000
Sn: 0.0000 0.0000 0.5000
Au: 0.5000 0.5000 0.0000

***

Run 2
Material: TlFe2SnAu
Method: DFT, PBE-GGA
State: optimized geometry

Results
As for the magnetic moment: 1.26 μB per atom.

abc: 4.9361 4.9361 5.6615
angles: 90.00 90.00 90.00
Space group P4/mmm (No. 123)
One atom of each set of equivalent atoms:
Tl: 0.0000 0.0000 0.0000
Fe: 0.0000 0.5000 0.0000
Sn: 0.0000 0.0000 0.5000
Au: 0.5000 0.5000 0.5000

***

Least stable = run 2